(1)
Entry from Alexandria: SnS2Br2Cl2 after structural relaxation (PBE).

Unit cell a=8.003 b=8.003 c=11.513 alpha=126.39 beta=126.39 gamma=27.30
Fractional positions:
Sn  0.000  0.000  0.000
S  0.063  0.063  0.599
S  0.937  0.937  0.401
Br  0.202  0.202  0.205
Br  0.798  0.798  0.795
Cl  0.474  0.474  0.134
Cl  0.526  0.526  0.866

Computed properties:
Magnetization = 0.166 μB per atom
Space group = No. 12
Formation energy (no corrections) = -363 meV/atom
V = 267.9 Å³/f.u.



(2)
Entry from Alexandria: PuTi7Nb4 after structural relaxation (PBE).

Unit cell a=5.424 b=5.455 c=16.157 alpha=90.93 beta=90.12 gamma=116.82
Fractional positions:
Pu  0.000  0.000  0.000
Pu  0.465  0.475  0.495
Ti  0.108  0.607  0.415
Ti  0.152  0.150  0.335
Ti  0.158  0.161  0.834
Ti  0.334  0.337  0.170
Ti  0.387  0.888  0.092
Ti  0.491  0.490  0.662
Ti  0.501  0.503  0.001
Ti  0.557  0.060  0.923
Ti  0.656  0.661  0.333
Ti  0.663  0.659  0.832
Ti  0.836  0.829  0.169
Ti  0.957  0.957  0.504
Ti  0.958  0.452  0.587
Ti  0.987  0.989  0.671
Nb  0.057  0.563  0.923
Nb  0.150  0.641  0.755
Nb  0.242  0.746  0.253
Nb  0.452  0.959  0.587
Nb  0.604  0.115  0.418
Nb  0.640  0.145  0.756
Nb  0.743  0.242  0.252
Nb  0.892  0.380  0.087

Computed properties:
Magnetization = 0.335 μB per atom
Space group = No. 1
V = 213.2 Å³/f.u.
Formation enthalpy at 0 K = 6.1 kJ per mole of atoms



(3)
Entry from Alexandria: KMg2NiPt after structural relaxation (PBE).

Unit cell a=4.897 b=4.897 c=4.832 alpha=90.00 beta=90.00 gamma=90.00
Fractional positions:
K  0.000  0.000  0.000
Mg  0.000  0.500  0.500
Mg  0.500  0.000  0.500
Ni  0.500  0.500  0.500
Pt  0.500  0.500  0.000

Computed properties:
Magnetization = 0.002 μB per atom
Space group = No. 123
V = 115.9 Å³/f.u.
Formation enthalpy at 0 K = 11.1 kJ per mole of atoms



(4)
Entry from Alexandria: Nb2IrAu after structural relaxation (PBE).

Unit cell a=4.018 b=4.018 c=4.146 alpha=90.00 beta=90.00 gamma=90.00
Fractional positions:
Nb  0.000  0.500  0.000
Nb  0.500  0.000  0.000
Ir  0.000  0.000  0.500
Au  0.500  0.500  0.500

Computed properties:
Magnetization = 0.000 μB per atom
Space group = No. 123
V = 66.9 Å³/f.u.
Formation enthalpy at 0 K = -28.2 kJ per mole of atoms



(5)
Entry from Alexandria: Ta2HgTe after structural relaxation (PBE).

Unit cell a=10.586 b=10.586 c=10.586 alpha=157.29 beta=157.29 gamma=32.34
Fractional positions:
Ta  0.114  0.625  0.989
Ta  0.375  0.364  0.489
Ta  0.636  0.125  0.011
Ta  0.875  0.886  0.511
Hg  0.000  0.000  0.000
Hg  0.750  0.250  0.500
Te  0.250  0.750  0.500
Te  0.500  0.500  0.000

Computed properties:
Magnetization = 0.000 μB per atom
Space group = No. 122
Formation energy (no corrections) = 661 meV/atom
V = 88.4 Å³/f.u.



(6)
Entry from Alexandria: PmErB after structural relaxation (PBE).

Unit cell a=6.741 b=6.741 c=6.930 alpha=92.80 beta=92.80 gamma=27.51
Fractional positions:
Pm  0.158  0.158  0.175
Pm  0.842  0.842  0.825
Er  0.103  0.103  0.675
Er  0.897  0.897  0.325
B  0.272  0.272  0.504
B  0.728  0.728  0.496

Computed properties:
Magnetization = 0.000 μB per atom
Space group = No. 12
V = 72.6 Å³/f.u.
Formation enthalpy at 0 K = -6.1 kJ per mole of atoms



(7)
Entry from Alexandria: In2PAu after structural relaxation (PBE).

Unit cell a=6.437 b=6.437 c=6.437 alpha=144.49 beta=144.49 gamma=51.10
Fractional positions:
In  0.000  0.000  0.000
In  0.750  0.250  0.500
P  0.250  0.750  0.500
Au  0.500  0.500  0.000

Computed properties:
Magnetization = 0.000 μB per atom
Space group = No. 119
V = 89.5 Å³/f.u.
Formation enthalpy at 0 K = 15.4 kJ per mole of atoms



(8)
Entry from Alexandria: ZrAsAu after structural relaxation (PBE).

Unit cell a=4.479 b=4.479 c=4.479 alpha=60.00 beta=60.00 gamma=60.00
Fractional positions:
Zr  0.000  0.000  0.000
As  0.250  0.250  0.250
Au  0.500  0.500  0.500

Computed properties:
Magnetization = 0.000 μB per atom
Space group = No. 216
V = 63.5 Å³/f.u.
Formation enthalpy at 0 K = -28.4 kJ per mole of atoms



(9)
Entry from Alexandria: AlPCl2 after structural relaxation (PBE).

Unit cell a=7.452 b=7.452 c=7.452 alpha=156.87 beta=140.10 gamma=46.62
Fractional positions:
Al  0.000  0.000  0.000
P  0.500  0.500  0.000
Cl  0.132  0.632  0.500
Cl  0.868  0.368  0.500

Computed properties:
Magnetization = 0.000 μB per atom
Space group = No. 71
Formation energy (no corrections) = -170 meV/atom
V = 104.0 Å³/f.u.



(10)
Entry from Alexandria: KPaPt2O8 after structural relaxation (PBE).

Unit cell a=5.840 b=5.840 c=7.559 alpha=90.00 beta=90.00 gamma=120.00
Fractional positions:
K  0.000  0.000  0.000
Pa  0.000  0.000  0.500
Pt  0.333  0.667  0.447
Pt  0.667  0.333  0.553
O  0.081  0.376  0.620
O  0.294  0.919  0.620
O  0.333  0.667  0.203
O  0.376  0.294  0.380
O  0.624  0.706  0.620
O  0.667  0.333  0.797
O  0.706  0.081  0.380
O  0.919  0.624  0.380

Computed properties:
Magnetization = 0.167 μB per atom
Space group = No. 147
Formation energy (no corrections) = -912 meV/atom
V = 223.2 Å³/f.u.



(11)
Entry from Alexandria: Tb2SmTe after structural relaxation (PBE).

Unit cell a=10.112 b=10.112 c=10.112 alpha=22.32 beta=22.32 gamma=22.32
Fractional positions:
Tb  0.000  0.000  0.000
Tb  0.191  0.191  0.191
Sm  0.762  0.762  0.762
Te  0.595  0.595  0.595

Computed properties:
Magnetization = 0.000 μB per atom
Space group = No. 160
Formation energy (no corrections) = -541 meV/atom
V = 130.8 Å³/f.u.



(12)
Entry from Alexandria: LaGeRu after structural relaxation (PBE).

Unit cell a=6.078 b=6.078 c=6.025 alpha=105.16 beta=105.16 gamma=38.87
Fractional positions:
La  0.000  0.000  0.000
La  0.220  0.220  0.593
Ge  0.303  0.303  0.136
Ge  0.504  0.504  0.598
Ru  0.689  0.689  0.960
Ru  0.887  0.887  0.384

Computed properties:
Magnetization = 0.000 μB per atom
Space group = No. 8
V = 67.1 Å³/f.u.
Formation enthalpy at 0 K = -52.4 kJ per mole of atoms



(13)
Entry from Alexandria: BeCuPt4 after structural relaxation (PBE).

Unit cell a=5.201 b=5.201 c=5.201 alpha=60.00 beta=60.00 gamma=60.00
Fractional positions:
Be  0.000  0.000  0.000
Cu  0.750  0.750  0.750
Pt  0.375  0.375  0.375
Pt  0.375  0.375  0.875
Pt  0.375  0.875  0.375
Pt  0.875  0.375  0.375

Computed properties:
Magnetization = 0.000 μB per atom
Space group = No. 216
V = 99.5 Å³/f.u.
Formation enthalpy at 0 K = 28.1 kJ per mole of atoms